[1]
Entry from the Alexandria database: a relaxed Pr7IrSe5 crystal (PBE).

a = 7.3649 Å, b = 7.3649 Å, c = 25.4380 Å
α = 90.12°, β = 90.12°, γ = 32.38°
Closest atoms and distances in Å follow each position.
Sites, in units of the cell vectors:
Pr  0.0000  0.0000  0.0000  3 Se 2.96-3.09, 2 Ir 3.06
Pr  0.0000  0.0000  0.1371  3 Se 2.96-3.08, 2 Ir 3.07
Pr  0.1206  0.1206  0.7071  5 Se 2.99-3.07
Pr  0.1229  0.1229  0.4289  5 Se 2.99-3.06
Pr  0.2910  0.2910  0.2077  5 Se 2.99-3.06
Pr  0.2909  0.2909  0.9293  5 Se 2.99-3.07
Pr  0.4122  0.4122  0.6370  3 Se 2.96-3.09, 2 Ir 3.05
Pr  0.4135  0.4135  0.4999  3 Se 2.96-3.08, 2 Ir 3.08
Pr  0.5673  0.5673  0.2815  6 Se 2.98-3.01
Pr  0.5667  0.5667  0.8555  6 Se 2.98-3.01
Pr  0.6600  0.6600  0.5685  2 Ir 2.89, 2 Se 3.03-3.04
Pr  0.7529  0.7529  0.0685  2 Ir 2.89, 2 Se 3.04
Pr  0.8453  0.8453  0.7816  6 Se 2.98-3.01
Pr  0.8463  0.8463  0.3557  6 Se 2.98-3.01
Ir  0.0160  0.0160  0.5702  6 Pr 2.89-3.08
Ir  0.3970  0.3970  0.0681  6 Pr 2.89-3.07
Se  0.2058  0.2058  0.8183  6 Pr 3.00-3.07
Se  0.2069  0.2069  0.3184  6 Pr 3.00-3.06
Se  0.4843  0.4843  0.7463  6 Pr 2.96-3.01
Se  0.4856  0.4856  0.3908  6 Pr 2.96-3.01
Se  0.6493  0.6493  0.1731  6 Pr 2.99-3.08
Se  0.6492  0.6492  0.9639  6 Pr 2.99-3.09
Se  0.7629  0.7629  0.6732  6 Pr 2.99-3.09
Se  0.7643  0.7643  0.4639  6 Pr 2.99-3.08
Se  0.9280  0.9280  0.2463  6 Pr 2.96-3.01
Se  0.9277  0.9277  0.8908  6 Pr 2.96-3.01

## Properties
For the total magnetization, the calculation gives 0.000 μB/cell. The calculation puts the calculated total energy at -6.09 eV per atom. The calculation puts the uncorrected formation energy at -1.50 eV/atom. The value obtained for the density is 7.07 Mg/m³.

[2]
Entry from the Alexandria database: a relaxed Ac2MoN4 crystal (PBE).

a = 5.6789 Å, b = 6.1279 Å, c = 7.5385 Å
α = 90.00°, β = 106.76°, γ = 90.00°
Closest atoms and distances in Å follow each position.
Sites, in units of the cell vectors:
Ac  0.1025  0.2500  0.1159  4 N 2.58-2.62
Ac  0.2121  0.7500  0.4950  4 N 2.59-2.68
Ac  0.7879  0.2500  0.5050  4 N 2.59-2.68
Ac  0.8975  0.7500  0.8841  4 N 2.58-2.62
Mo  0.3661  0.2500  0.7335  4 N 1.87-1.90
Mo  0.6339  0.7500  0.2665  4 N 1.87-1.90
N  0.1880  0.0078  0.7757  1 Mo 1.87
N  0.1880  0.4922  0.7757  1 Mo 1.87
N  0.2901  0.7500  0.1670  1 Mo 1.88
N  0.3209  0.2500  0.4737  1 Mo 1.90
N  0.6791  0.7500  0.5263  1 Mo 1.90
N  0.7099  0.2500  0.8330  1 Mo 1.88
N  0.8120  0.5078  0.2243  1 Mo 1.87
N  0.8120  0.9922  0.2243  1 Mo 1.87

## Properties
For the total magnetization, the calculation gives 0.000 μB/cell. The calculation puts the calculated total energy at -8.44 eV per atom. The calculation puts the uncorrected formation energy at -0.97 eV/atom. The value obtained for the density is 8.01 Mg/m³.

[3]
Entry from the Alexandria database: a relaxed Pu3Al crystal (PBE).

a = 11.5334 Å, b = 11.5334 Å, c = 11.5334 Å
α = 13.40°, β = 13.40°, γ = 13.40°
Closest atoms and distances in Å follow each position.
Sites, in units of the cell vectors:
Pu  0.0000  0.0000  0.0000  6 Pu 2.69
Pu  0.2447  0.2447  0.2447  6 Pu 2.69
Pu  0.7553  0.7553  0.7553  6 Pu 2.69
Al  0.5000  0.5000  0.5000  6 Al 2.69

## Properties
For the total magnetization, the calculation gives 5.996 μB/cell. The calculation puts the calculated total energy at -11.32 eV per atom. Its energy of formation from the pure elements is 361 meV/atom. The value obtained for the density is 17.58 Mg/m³.